Entry 1:
! SrTm4Cd5 | Alexandria | GGA-PBE | optimized geometry; values from VASP
! - Formation enthalpy at 0 K: -309.2 meV/atom
! - Space-group type: No. 123
! - M_tot: 0.0 μB/f.u.
! - Fermi-level density of states: 0.71 states/eV per atom
! - Calculated density: 8.3 g cm⁻³
&SYSTEM
  ibrav = 0, nat = 10, ntyp = 3
/
ATOMIC_SPECIES
Sr 87.62 Sr.upf
Tm 168.93 Tm.upf
Cd 112.41 Cd.upf
CELL_PARAMETERS angstrom
3.7502 0.0000 0.0000
0.0000 3.7502 0.0000
0.0000 0.0000 18.9169
ATOMIC_POSITIONS crystal
Sr 0.0000 0.0000 0.0000
Tm 0.0000 0.0000 0.2121
Tm 0.0000 0.0000 0.4043
Tm 0.0000 0.0000 0.5957
Tm 0.0000 0.0000 0.7879
Cd 0.5000 0.5000 0.1204
Cd 0.5000 0.5000 0.3077
Cd 0.5000 0.5000 0.5000
Cd 0.5000 0.5000 0.6923
Cd 0.5000 0.5000 0.8796

---

Entry 2:
! CuAg4Cl | Alexandria | GGA-PBE | optimized geometry; values from VASP
! - Space-group type: No. 216
! - M_tot: 0.0 μB/f.u.
! - Fermi-level density of states: 0.50 states/eV per atom
! - Calculated density: 7.3 g cm⁻³
! - E: -2.551 eV per atom
&SYSTEM
  ibrav = 0, nat = 6, ntyp = 3
/
ATOMIC_SPECIES
Cu 63.55 Cu.upf
Ag 107.87 Ag.upf
Cl 35.45 Cl.upf
CELL_PARAMETERS angstrom
0.0000 3.9242 3.9242
3.9242 0.0000 3.9242
3.9242 3.9242 0.0000
ATOMIC_POSITIONS crystal
Cu 0.0000 0.0000 0.0000
Ag 0.3746 0.3746 0.3746
Ag 0.3746 0.3746 0.8761
Ag 0.3746 0.8761 0.3746
Ag 0.8761 0.3746 0.3746
Cl 0.7500 0.7500 0.7500

---

Q: What is the Fermi-level density of states in the second record?
A: 0.50 states/eV per atom

---

What did the first record say?
! SrTm4Cd5 | Alexandria | GGA-PBE | optimized geometry; values from VASP
! - Formation enthalpy at 0 K: -309.2 meV/atom
! - Space-group type: No. 123
! - M_tot: 0.0 μB/f.u.
! - Fermi-level density of states: 0.71 states/eV per atom
! - Calculated density: 8.3 g cm⁻³
&SYSTEM
  ibrav = 0, nat = 10, ntyp = 3
/
ATOMIC_SPECIES
Sr 87.62 Sr.upf
Tm 168.93 Tm.upf
Cd 112.41 Cd.upf
CELL_PARAMETERS angstrom
3.7502 0.0000 0.0000
0.0000 3.7502 0.0000
0.0000 0.0000 18.9169
ATOMIC_POSITIONS crystal
Sr 0.0000 0.0000 0.0000
Tm 0.0000 0.0000 0.2121
Tm 0.0000 0.0000 0.4043
Tm 0.0000 0.0000 0.5957
Tm 0.0000 0.0000 0.7879
Cd 0.5000 0.5000 0.1204
Cd 0.5000 0.5000 0.3077
Cd 0.5000 0.5000 0.5000
Cd 0.5000 0.5000 0.6923
Cd 0.5000 0.5000 0.8796

---

Q: What is the formula in the first record?
A: SrTm4Cd5